Record 1
Material: MgIr2N
Method: DFT, PBE
State: relaxed

Unit cell a=5.9386 b=5.9386 c=5.9386 alpha=90.00 beta=90.00 gamma=90.00
Sites, in units of the cell vectors:
Mg: 0.0000 0.0000 0.0000
Mg: 0.0000 0.5000 0.5000
Mg: 0.5000 0.0000 0.5000
Mg: 0.5000 0.5000 0.0000
Ir: 0.2500 0.2500 0.2500
Ir: 0.2500 0.2500 0.7500
Ir: 0.2500 0.7500 0.2500
Ir: 0.2500 0.7500 0.7500
Ir: 0.7500 0.2500 0.2500
Ir: 0.7500 0.2500 0.7500
Ir: 0.7500 0.7500 0.2500
Ir: 0.7500 0.7500 0.7500
N: 0.0000 0.0000 0.5000
N: 0.0000 0.5000 0.0000
N: 0.5000 0.0000 0.0000
N: 0.5000 0.5000 0.5000

raw formation energy	1.185	eV per atom
raw total energy	-5.726	eV/atom
distance to the lowest polymorph of the same formula	1024.0	meV per atom
Fermi-level density of states	0.82	states/eV per atom
spin magnetization	0.000	μB/atom

***

Record 2
Material: MgIrN2
Method: DFT, PBE
State: relaxed

Unit cell a=5.6435 b=6.5803 c=5.5439 alpha=90.00 beta=90.00 gamma=90.00
Sites, in units of the cell vectors:
Mg: 0.0912 0.1277 0.0000
Mg: 0.4088 0.6277 0.5000
Mg: 0.5912 0.3723 0.0000
Mg: 0.9088 0.8723 0.5000
Ir: 0.0785 0.6555 0.0265
Ir: 0.4215 0.1555 0.5265
Ir: 0.5785 0.8445 0.0265
Ir: 0.9215 0.3445 0.5265
N: 0.0658 0.5996 0.3685
N: 0.1063 0.1254 0.3797
N: 0.3937 0.6254 0.8797
N: 0.4342 0.0996 0.8685
N: 0.5658 0.9004 0.3685
N: 0.6063 0.3746 0.3797
N: 0.8937 0.8746 0.8797
N: 0.9342 0.4004 0.8685

raw formation energy	0.123	eV per atom
raw total energy	-6.653	eV/atom
Fermi-level density of states	0.49	states/eV per atom
spin magnetization	0.000	μB/atom

***

Record 3
Material: MgIrN2
Method: DFT, PBE
State: relaxed

Unit cell a=3.1668 b=3.1668 c=17.9299 alpha=90.00 beta=90.00 gamma=120.00
Sites, in units of the cell vectors:
Mg: 0.0000 0.0000 0.0000
Mg: 0.3333 0.6667 0.6667
Mg: 0.6667 0.3333 0.3333
Ir: 0.0000 0.0000 0.5000
Ir: 0.3333 0.6667 0.1667
Ir: 0.6667 0.3333 0.8333
N: 0.0000 0.0000 0.3999
N: 0.0000 0.0000 0.6001
N: 0.3333 0.6667 0.0666
N: 0.3333 0.6667 0.2667
N: 0.6667 0.3333 0.7333
N: 0.6667 0.3333 0.9334

raw formation energy	0.358	eV per atom
raw total energy	-6.419	eV/atom
Fermi-level density of states	0.25	states/eV per atom
spin magnetization	0.000	μB/atom

***

Record 4
Material: MgIrN
Method: DFT, PBE
State: relaxed

Unit cell a=3.0251 b=3.0251 c=14.1721 alpha=90.00 beta=90.00 gamma=120.00
Sites, in units of the cell vectors:
Mg: 0.0000 0.0000 0.0000
Mg: 0.3333 0.6667 0.6667
Mg: 0.6667 0.3333 0.3333
Ir: 0.0000 0.0000 0.4903
Ir: 0.3333 0.6667 0.1569
Ir: 0.6667 0.3333 0.8236
N: 0.0000 0.0000 0.2343
N: 0.3333 0.6667 0.9010
N: 0.6667 0.3333 0.5676

raw formation energy	-0.055	eV per atom
raw total energy	-6.315	eV/atom
Fermi-level density of states	0.00	states/eV per atom
spin magnetization	0.000	μB/atom